VASP calculation (PBE) on a relaxed K2PuHgF8 crystal.

Cell lengths 5.919, 5.919, 11.263 Å; angles 90.00, 90.00, 90.00 degrees
Space group I-4m2 (No. 119)
Symmetry-distinct sites (fractional):
K 0.000 0.000 0.000 (multiplicity 2)
K 0.000 0.500 0.250 (multiplicity 2)
Pu 0.000 0.500 0.750 (multiplicity 2)
Hg 0.000 0.000 0.500 (multiplicity 2)
F 0.211 0.268 0.631 (multiplicity 16)

Output
Density of states at the Fermi level in states/eV per atom: 0.45
Total energy in eV per cell: -129.9
Energy relative to the elements, uncorrected in eV per atom: -2.7632
Total moment in μB per formula unit: 4.00
Crystal system: tetragonal



VASP calculation (PBE) on a relaxed KPuHg2F8 crystal.

Cell lengths 5.753, 5.753, 11.683 Å; angles 90.00, 90.00, 90.00 degrees
Space group I-4m2 (No. 119)
Symmetry-distinct sites (fractional):
K 0.000 0.000 0.000 (multiplicity 2)
Pu 0.000 0.500 0.250 (multiplicity 2)
Hg 0.000 0.000 0.500 (multiplicity 2)
Hg 0.000 0.500 0.750 (multiplicity 2)
F 0.228 0.254 0.364 (multiplicity 16)

Output
Density of states at the Fermi level in states/eV per atom: 0.81
Total energy in eV per cell: -120.2
Energy relative to the elements, uncorrected in eV per atom: -2.4240
Total moment in μB per formula unit: 4.70
Crystal system: tetragonal



VASP calculation (PBE) on a relaxed KPuHg2F6 crystal.

Cell lengths 6.4173, 6.4173, 7.2137 Å; angles 90.00, 90.00, 120.00 degrees
Space group P-3m1 (No. 164)
Symmetry-distinct sites (fractional):
K 0.0000 0.0000 0.0000 (multiplicity 1)
Pu 0.0000 0.0000 0.5000 (multiplicity 1)
Hg 0.3333 0.6667 0.0138 (multiplicity 2)
F 0.1462 0.2923 0.3161 (multiplicity 6)

Output
Density of states at the Fermi level in states/eV per atom: 1.25
Total energy in eV per cell: -51.6
Energy relative to the elements, uncorrected in eV per atom: -2.4353
Total moment in μB per formula unit: 3.30
Crystal system: trigonal



VASP calculation (PBE) on a relaxed KPu3Hg2F12 crystal.

Cell lengths 8.8622, 8.8622, 20.2894 Å; angles 90.00, 90.00, 120.00 degrees
Space group R-3m (No. 166, hexagonal axes)
Symmetry-distinct sites (fractional):
K 0.0000 0.0000 0.0000 (multiplicity 3)
Pu 0.0000 0.5000 0.5000 (multiplicity 9)
Hg 0.0000 0.0000 0.3907 (multiplicity 6)
F 0.0363 0.5181 0.6019 (multiplicity 18)
F 0.1040 0.5520 0.8404 (multiplicity 18)

Output
Density of states at the Fermi level in states/eV per atom: 0.69
Total energy in eV per cell: -365.2
Energy relative to the elements, uncorrected in eV per atom: -3.0321
Total moment in μB per formula unit: 13.00
Crystal system: trigonal



VASP calculation (PBE) on a relaxed KRb2Hg3F8 crystal.

Cell lengths 7.4285, 7.4285, 19.9932 Å; angles 90.00, 90.00, 120.00 degrees
Space group R3m (No. 160, hexagonal axes)
Symmetry-distinct sites (fractional):
K 0.0000 0.0000 0.0000 (multiplicity 3)
Rb 0.0000 0.0000 0.1800 (multiplicity 3)
Rb 0.0000 0.0000 0.5293 (multiplicity 3)
Hg 0.1713 0.3427 0.3706 (multiplicity 9)
F 0.0000 0.0000 0.3152 (multiplicity 3)
F 0.0000 0.0000 0.7659 (multiplicity 3)
F 0.0474 0.5237 0.3001 (multiplicity 9)
F 0.1703 0.3407 0.0948 (multiplicity 9)

Output
Density of states at the Fermi level in states/eV per atom: 0.12
Total energy in eV per cell: -136.4
Energy relative to the elements, uncorrected in eV per atom: -1.8976
Total moment in μB per formula unit: 0.00
Crystal system: trigonal



VASP calculation (PBE) on a relaxed K6Rb2HgF crystal.

Cell lengths 12.659, 12.660, 9.644 Å; angles 90.00, 130.82, 90.00 degrees
Space group C2/m (No. 12)
Symmetry-distinct sites (fractional):
K 0.000 0.214 0.000 (multiplicity 4)
K 0.214 0.000 0.000 (multiplicity 4)
K 0.243 0.500 0.484 (multiplicity 4)
Rb 0.000 0.251 0.500 (multiplicity 4)
Hg 0.000 0.500 0.000 (multiplicity 2)
F 0.000 0.000 0.000 (multiplicity 2)

Output
Density of states at the Fermi level in states/eV per atom: 0.84
Total energy in eV per cell: -31.7
Energy relative to the elements, uncorrected in eV per atom: -0.5151
Total moment in μB per formula unit: 0.00
Crystal system: monoclinic